{"formula": "Y2Th3Os2", "functional": "PBE", "state": "relaxed", "lattice": [[6.051, -1.985, 0.000], [6.051, 1.985, 0.000], [-3.952, 0.000, 8.045]], "species": ["Y", "Y", "Th", "Th", "Th", "Os", "Os"], "fractional_positions": [[0.167, 0.167, 0.312], [0.833, 0.833, 0.688], [0.384, 0.384, 0.067], [0.500, 0.500, 0.500], [0.616, 0.616, 0.933], [0.170, 0.170, 0.742], [0.830, 0.830, 0.258]], "final_energy_ev_per_atom": -8.483, "dos_at_fermi_per_ev_atom": 0.89, "ef_kcal_per_mol_atoms": -5.7, "mass_density_kg_m3": 10780}